# 1
A plane-wave DFT calculation with PBE-GGA was carried out for a relaxed InMo2Cl crystal.

abc: 6.6732 6.6732 4.8523
angles: 81.75 81.75 27.91
Last column: nearest neighbours and their distance in Å.
Fractional positions:
1 Cl 0.4485 0.4485 0.6984  2 Mo 2.64
2 In 0.2150 0.2150 0.2556  6 Mo 2.83-2.95
3 Mo 0.7378 0.7378 0.7395  2 Mo 2.40
4 Mo 0.0987 0.0987 0.8065  2 Mo 2.40, 2 Cl 2.64

Output
Mass density: 5680 kg/m³
E_form (uncorrected): 0.314 eV/atom
Space group: Cm, No. 8
Size of the total moment: 0.00 μB/f.u.
E: -6.25 eV/atom
Offset from the most stable computed form: 193 meV/atom

***

# 2
A plane-wave DFT calculation with PBE-GGA was carried out for a relaxed CsMn2AgPb crystal.

abc: 5.5799 5.5799 5.6713
angles: 90.00 90.00 90.00
Last column: nearest neighbours and their distance in Å.
Fractional positions:
1 Pb 0.5000 0.5000 0.5000  4 Ag 3.95, 8 Mn 3.98
2 Mn 0.5000 0.0000 0.0000  2 Cs 2.79
3 Mn 0.0000 0.5000 0.0000  2 Cs 2.79
4 Ag 0.0000 0.0000 0.5000  2 Cs 2.84
5 Cs 0.0000 0.0000 0.0000  4 Mn 2.79, 2 Ag 2.84

Output
Mass density: 5246 kg/m³
Space group: P4/mmm, No. 123
Size of the total moment: 8.73 μB/f.u.
E: -3.29 eV/atom
DFT formation energy: 1865 meV per atom